A plane-wave DFT calculation with PBE+U was carried out for a relaxed structure of TiMnTl2O6.

The density of states at the Fermi level comes out at 2.57 states/eV per cell. The value obtained for the magnetization is 0.500 μB per atom. The total energy is -195.771 eV per cell.

It has space group R3 (No. 146, hexagonal axes), with a = 5.5473 Å, b = 5.5473 Å, c = 14.4796 Å, α = 90.00°, β = 90.00° and γ = 120.00°. The distinct sites, in fractional coordinates, are Ti at (0.0000, 0.0000, 0.0000), Mn at (0.0000, 0.0000, 0.4984), Tl at (0.0000, 0.0000, 0.2692), Tl at (0.0000, 0.0000, 0.7783), O at (0.0070, 0.3891, 0.7289) and O at (0.0678, 0.6991, 0.5686).